Record 1
Compound: ReC
Source: Alexandria via LeMat-Bulk
Functional: PBE-GGA
Structure: relaxed

It has space group I-43m (No. 217), with a = 6.368 Å, b = 6.368 Å, c = 6.368 Å, α = 90.00°, β = 90.00° and γ = 90.00°. Symmetry generates all atoms from Re at (0.154, 0.154, 0.846) and C at (0.166, 0.166, 0.166).

The crystal system is cubic. As for the energy of formation: 948 meV/atom. The calculation puts the energy above the most stable polymorph in this dataset at 708 meV per atom.

=====

Record 2
Compound: Tl2IrOsF
Source: Alexandria via LeMat-Bulk
Functional: PBE-GGA
Structure: relaxed

It has space group P4/mmm (No. 123), with a = 4.861 Å, b = 4.861 Å, c = 3.994 Å, α = 90.00°, β = 90.00° and γ = 90.00°. Symmetry generates all atoms from Tl at (0.000, 0.500, 0.000), Ir at (0.000, 0.000, 0.500), Os at (0.500, 0.500, 0.500) and F at (0.500, 0.500, 0.000).

The crystal system is tetragonal. The energy relative to the elements, uncorrected is 0.936 eV per atom.

=====

Record 3
Compound: Li2CeCd3
Source: Alexandria via LeMat-Bulk
Functional: PBE-GGA
Structure: relaxed

It has space group Cmcm (No. 63), with a = 10.433 Å, b = 9.249 Å, c = 5.568 Å, α = 90.00°, β = 90.00° and γ = 90.00°. Symmetry generates all atoms from Li at (0.224, 0.000, 0.000), Ce at (0.000, 0.332, 0.250), Cd at (0.000, 0.040, 0.750) and Cd at (0.176, 0.281, 0.750).

The crystal system is orthorhombic. As for the energy of formation: -128 meV/atom. The calculation puts the energy above the most stable polymorph in this dataset at 95 meV per atom.

=====

Record 4
Compound: K2HgAsPt
Source: Alexandria via LeMat-Bulk
Functional: PBE-GGA
Structure: relaxed

It has space group P4/mmm (No. 123), with a = 6.366 Å, b = 6.366 Å, c = 4.606 Å, α = 90.00°, β = 90.00° and γ = 90.00°. Symmetry generates all atoms from K at (0.000, 0.500, 0.000), Hg at (0.000, 0.000, 0.500), As at (0.500, 0.500, 0.500) and Pt at (0.500, 0.500, 0.000).

The crystal system is tetragonal. As for the energy of formation: -318 meV/atom. The calculation puts the energy above the most stable polymorph in this dataset at 0 meV per atom.

=====

Record 5
Compound: LiInNi
Source: Alexandria via LeMat-Bulk
Functional: PBE-GGA
Structure: relaxed

It has space group I4/mmm (No. 139), with a = 3.090 Å, b = 3.090 Å, c = 22.688 Å, α = 90.00°, β = 90.00° and γ = 90.00°. Symmetry generates all atoms from Li at (0.000, 0.000, 0.067), In at (0.000, 0.000, 0.347) and Ni at (0.000, 0.000, 0.222).

The crystal system is tetragonal. As for the energy of formation: -76 meV/atom.

=====

Record 6
Compound: MgPd6Pb
Source: Alexandria via LeMat-Bulk
Functional: PBE-GGA
Structure: relaxed

It has space group P-1 (No. 2), with a = 5.154 Å, b = 5.203 Å, c = 5.220 Å, α = 94.71°, β = 95.16° and γ = 95.17°. Symmetry generates all atoms from Mg at (0.000, 0.000, 0.000), Pd at (0.047, 0.443, 0.753), Pd at (0.248, 0.948, 0.562), Pd at (0.443, 0.751, 0.049) and Pb at (0.500, 0.500, 0.500).

The crystal system is triclinic. As for the energy of formation: -263 meV/atom. The calculation puts the energy above the most stable polymorph in this dataset at 113 meV per atom.

=====

Record 7
Compound: Li6Mg2Al
Source: Alexandria via LeMat-Bulk
Functional: PBE-GGA
Structure: relaxed

It has space group R-3m (No. 166, hexagonal axes), with a = 8.1839 Å, b = 8.1839 Å, c = 8.6629 Å, α = 90.00°, β = 90.00° and γ = 120.00°. Symmetry generates all atoms from Li at (0.0000, 0.3372, 0.0000), Mg at (0.0000, 0.0000, 0.1709) and Al at (0.0000, 0.0000, 0.5000).

The crystal system is trigonal. As for the energy of formation: -68 meV/atom. The calculation puts the energy above the most stable polymorph in this dataset at 0 meV per atom.

=====

Record 8
Compound: Na4Tm3HfSe8
Source: Alexandria via LeMat-Bulk
Functional: PBE-GGA
Structure: relaxed

It has space group R-3m (No. 166, hexagonal axes), with a = 8.0491 Å, b = 8.0491 Å, c = 21.0729 Å, α = 90.00°, β = 90.00° and γ = 120.00°. Symmetry generates all atoms from Na at (0.0000, 0.0000, 0.0000), Na at (0.0000, 0.5000, 0.0000), Tm at (0.0000, 0.5000, 0.5000), Hf at (0.0000, 0.0000, 0.5000), Se at (0.0000, 0.0000, 0.2433) and Se at (0.0113, 0.5056, 0.2416).

The crystal system is trigonal. The energy relative to the elements, uncorrected is -1.568 eV per atom.

=====

Record 9
Compound: AcCe2Tl2In2
Source: Alexandria via LeMat-Bulk
Functional: PBE-GGA
Structure: relaxed

It has space group R-3m (No. 166, hexagonal axes), with a = 4.9612 Å, b = 4.9612 Å, c = 29.8086 Å, α = 90.00°, β = 90.00° and γ = 120.00°. Symmetry generates all atoms from Ac at (0.0000, 0.0000, 0.0000), Ce at (0.0000, 0.0000, 0.1466), Tl at (0.0000, 0.0000, 0.4285) and In at (0.0000, 0.0000, 0.2676).

The crystal system is trigonal. As for the energy of formation: -148 meV/atom.

=====

Record 10
Compound: In3CuSe
Source: Alexandria via LeMat-Bulk
Functional: PBE-GGA
Structure: relaxed

It has space group Pm-3m (No. 221), with a = 5.057 Å, b = 5.057 Å, c = 5.057 Å, α = 90.00°, β = 90.00° and γ = 90.00°. Symmetry generates all atoms from In at (0.000, 0.000, 0.500), Cu at (0.000, 0.000, 0.000) and Se at (0.500, 0.500, 0.500).

The crystal system is cubic. The energy relative to the elements, uncorrected is -0.013 eV per atom. The calculation puts the energy above the most stable polymorph in this dataset at 0 meV per atom.

=====

Record 11
Compound: LiV2Bi
Source: Alexandria via LeMat-Bulk
Functional: PBE-GGA
Structure: relaxed

It has space group I-42d (No. 122), with a = 7.301 Å, b = 7.301 Å, c = 5.236 Å, α = 90.00°, β = 90.00° and γ = 90.00°. Symmetry generates all atoms from Li at (0.000, 0.000, 0.000), V at (0.238, 0.750, 0.125) and Bi at (0.000, 0.000, 0.500).

The crystal system is tetragonal. As for the energy of formation: 737 meV/atom.

=====

Record 12
Compound: Ti3CrB
Source: Alexandria via LeMat-Bulk
Functional: PBE-GGA
Structure: relaxed

It has space group Pm-3m (No. 221), with a = 4.386 Å, b = 4.386 Å, c = 4.386 Å, α = 90.00°, β = 90.00° and γ = 90.00°. Symmetry generates all atoms from Ti at (0.000, 0.000, 0.500), Cr at (0.000, 0.000, 0.000) and B at (0.500, 0.500, 0.500).

The crystal system is cubic. As for the energy of formation: 1193 meV/atom. The calculation puts the energy above the most stable polymorph in this dataset at 980 meV per atom.

=====

Record 13
Compound: SrYCl2
Source: Alexandria via LeMat-Bulk
Functional: PBE-GGA
Structure: relaxed

It has space group P4/mmm (No. 123), with a = 5.221 Å, b = 5.221 Å, c = 3.623 Å, α = 90.00°, β = 90.00° and γ = 90.00°. Symmetry generates all atoms from Sr at (0.000, 0.000, 0.000), Y at (0.500, 0.500, 0.000) and Cl at (0.000, 0.500, 0.500).

The crystal system is tetragonal. The energy relative to the elements, uncorrected is -1.017 eV per atom. The calculation puts the energy above the most stable polymorph in this dataset at 464 meV per atom.

=====

Record 14
Compound: GeAs2Rh8
Source: Alexandria via LeMat-Bulk
Functional: PBE-GGA
Structure: relaxed

It has space group Immm (No. 71), with a = 4.000 Å, b = 6.863 Å, c = 11.778 Å, α = 90.00°, β = 90.00° and γ = 90.00°. Symmetry generates all atoms from Ge at (0.000, 0.000, 0.000), As at (0.000, 0.000, 0.318), Rh at (0.000, 0.195, 0.500), Rh at (0.000, 0.272, 0.166) and Rh at (0.000, 0.500, 0.361).

The crystal system is orthorhombic. As for the energy of formation: -240 meV/atom.

=====

Record 15
Compound: Gd2ErSi
Source: Alexandria via LeMat-Bulk
Functional: PBE-GGA
Structure: relaxed

It has space group P4/mmm (No. 123), with a = 4.621 Å, b = 4.621 Å, c = 4.685 Å, α = 90.00°, β = 90.00° and γ = 90.00°. Symmetry generates all atoms from Gd at (0.000, 0.500, 0.000), Er at (0.000, 0.000, 0.500) and Si at (0.500, 0.500, 0.500).

The crystal system is tetragonal. The energy relative to the elements, uncorrected is -0.270 eV per atom.

=====

Record 16
Compound: Zr3Te
Source: Alexandria via LeMat-Bulk
Functional: PBE-GGA
Structure: relaxed

It has space group Pmm2 (No. 25), with a = 3.379 Å, b = 3.435 Å, c = 8.801 Å, α = 90.00°, β = 90.00° and γ = 90.00°. Symmetry generates all atoms from Zr at (0.000, 0.000, 0.000), Zr at (0.000, 0.500, 0.306), Zr at (0.500, 0.500, 0.766) and Te at (0.500, 0.000, 0.492).

The crystal system is orthorhombic. The energy relative to the elements, uncorrected is -0.046 eV per atom.

=====

Record 17
Compound: TiBPtAu2
Source: Alexandria via LeMat-Bulk
Functional: PBE-GGA
Structure: relaxed

It has space group P4/mmm (No. 123), with a = 5.125 Å, b = 5.125 Å, c = 4.590 Å, α = 90.00°, β = 90.00° and γ = 90.00°. Symmetry generates all atoms from Ti at (0.000, 0.000, 0.000), B at (0.500, 0.500, 0.000), Pt at (0.000, 0.000, 0.500) and Au at (0.000, 0.500, 0.500).

The crystal system is tetragonal. As for the energy of formation: 1364 meV/atom.

=====

Record 18
Compound: Pr2Tm5Sb4
Source: Alexandria via LeMat-Bulk
Functional: PBE-GGA
Structure: relaxed

It has space group C2/m (No. 12), with a = 25.640 Å, b = 4.062 Å, c = 6.987 Å, α = 90.00°, β = 91.28° and γ = 90.00°. Symmetry generates all atoms from Pr at (0.235, 0.000, 0.264), Tm at (0.000, 0.500, 0.500), Tm at (0.089, 0.000, 0.193), Tm at (0.141, 0.000, 0.686), Sb at (0.030, 0.000, 0.799) and Sb at (0.165, 0.500, 0.006).

The crystal system is monoclinic. The energy relative to the elements, uncorrected is -0.445 eV per atom.

=====

Record 19
Compound: Th6Fe2Sn
Source: Alexandria via LeMat-Bulk
Functional: PBE-GGA
Structure: relaxed

It has space group Immm (No. 71), with a = 9.306 Å, b = 9.591 Å, c = 10.732 Å, α = 90.00°, β = 90.00° and γ = 90.00°. Symmetry generates all atoms from Th at (0.000, 0.204, 0.241), Th at (0.188, 0.500, 0.167), Th at (0.200, 0.318, 0.500), Fe at (0.000, 0.346, 0.000), Fe at (0.000, 0.500, 0.369), Sn at (0.000, 0.000, 0.000) and Sn at (0.000, 0.000, 0.500).

The crystal system is orthorhombic. As for the energy of formation: -118 meV/atom.

=====

Record 20
Compound: La4ReAg
Source: Alexandria via LeMat-Bulk
Functional: PBE-GGA
Structure: relaxed

It has space group C2/c (No. 15), with a = 9.066 Å, b = 13.361 Å, c = 6.404 Å, α = 90.00°, β = 110.01° and γ = 90.00°. Symmetry generates all atoms from La at (0.106, 0.173, 0.054), La at (0.214, 0.424, 0.378), Re at (0.000, 0.001, 0.750) and Ag at (0.000, 0.376, 0.750).

The crystal system is monoclinic. As for the energy of formation: -80 meV/atom. The calculation puts the energy above the most stable polymorph in this dataset at 0 meV per atom.

=====

Record 21
Compound: TiReP3O12
Source: Alexandria via LeMat-Bulk
Functional: PBE-GGA
Structure: relaxed

It has space group R3c (No. 161, hexagonal axes), with a = 8.6524 Å, b = 8.6524 Å, c = 21.9677 Å, α = 90.00°, β = 90.00° and γ = 120.00°. Symmetry generates all atoms from Ti at (0.0000, 0.0000, 0.0000), Re at (0.0000, 0.0000, 0.2170), P at (0.0005, 0.2838, 0.1086), O at (0.0252, 0.1949, 0.0527), O at (0.0312, 0.1957, 0.7696), O at (0.1636, 0.4688, 0.1175) and O at (0.1647, 0.4642, 0.8336).

The crystal system is trigonal. The energy relative to the elements, uncorrected is -2.170 eV per atom.

=====

Record 22
Compound: AuSe2I6
Source: Alexandria via LeMat-Bulk
Functional: PBE-GGA
Structure: relaxed

It has space group C2/c (No. 15), with a = 13.797 Å, b = 12.890 Å, c = 9.897 Å, α = 90.00°, β = 105.93° and γ = 90.00°. Symmetry generates all atoms from Au at (0.000, 0.077, 0.250), Se at (0.083, 0.499, 0.822), I at (0.124, 0.302, 0.864), I at (0.130, 0.224, 0.379) and I at (0.144, 0.056, 0.890).

The crystal system is monoclinic. The energy relative to the elements, uncorrected is 0.046 eV per atom. The calculation puts the energy above the most stable polymorph in this dataset at 0 meV per atom.